A plane-wave DFT calculation with PBE was carried out for a relaxed structure of As2CSeF.

Cell: 4.3360 4.3360 4.4004 Å, 90.00 90.00 90.00°
Space group P4/mmm (No. 123)
Unique sites:
As1 0.0000 0.5000 0.0000 [2 per cell]
C1 0.0000 0.0000 0.0000 [1 per cell]
Se1 0.0000 0.0000 0.5000 [1 per cell]
F1 0.5000 0.5000 0.5000 [1 per cell]

Output
Formation energy (no corrections), eV per atom: 0.805
Magnetic moment, μB per cell: 0.0
Crystal system: tetragonal